# SmSiNO

A relaxed SmSiNO crystal (PBE, OQMD via LeMat-Bulk).

Structure (POSCAR):
```
SmSiNO
1.0
3.965 0.000 0.000
0.000 3.965 0.000
0.000 0.000 7.498
N O Si Sm
2 2 2 2
Direct
0.750 0.750 0.495
0.250 0.250 0.505
0.750 0.250 0.000
0.250 0.750 0.000
0.750 0.250 0.500
0.250 0.750 0.500
0.250 0.250 0.154
0.750 0.750 0.846
```

***

# SmSiNO

A relaxed SmSiNO crystal (PBE, OQMD via LeMat-Bulk).

Structure (POSCAR):
```
SmSiNO
1.0
-0.609 -4.589 0.741
2.273 -0.946 -3.989
4.282 -0.168 2.479
N O Si Sm
2 2 2 2
Direct
0.250 0.250 0.349
0.750 0.750 0.651
0.750 0.250 0.000
0.250 0.750 0.000
0.250 0.250 0.003
0.750 0.750 0.997
0.750 0.250 0.500
0.250 0.750 0.500
```

***

# SmSiNO

A relaxed SmSiNO crystal (PBE, OQMD via LeMat-Bulk).

Structure (POSCAR):
```
SmSiNO
1.0
6.591 0.000 0.000
0.000 6.692 0.000
0.000 0.000 5.210
N O Si Sm
4 4 4 4
Direct
0.913 0.355 0.004
0.413 0.645 0.004
0.587 0.355 0.504
0.087 0.645 0.504
0.511 0.006 0.231
0.011 0.994 0.231
0.989 0.006 0.731
0.489 0.994 0.731
0.409 0.161 0.484
0.909 0.839 0.484
0.091 0.161 0.984
0.591 0.839 0.984
0.944 0.321 0.484
0.444 0.679 0.484
0.556 0.321 0.984
0.056 0.679 0.984
```

***

# SmSiNO

A relaxed SmSiNO crystal (PBE, OQMD via LeMat-Bulk).

Structure (POSCAR):
```
SmSiNO
1.0
-1.988 -1.064 -2.396
3.814 -3.078 -1.797
-1.914 -4.455 3.567
N O Si Sm
2 2 2 2
Direct
0.000 0.312 0.426
0.000 0.688 0.926
0.500 0.885 0.235
0.500 0.115 0.735
0.500 0.637 0.043
0.500 0.363 0.543
0.000 0.179 0.041
0.000 0.821 0.541
```

***

# SmSiNO

A relaxed SmSiNO crystal (PBE, OQMD via LeMat-Bulk).

Structure (POSCAR):
```
SmSiNO
1.0
3.801 0.000 0.000
0.000 4.936 0.000
0.000 0.000 5.321
N O Si Sm
2 2 2 2
Direct
0.000 0.501 0.248
0.000 0.499 0.748
0.500 0.225 0.000
0.500 0.775 0.500
0.000 0.743 0.499
0.000 0.257 0.999
0.500 0.257 0.498
0.500 0.743 0.998
```

***

# TbSiNO

A relaxed TbSiNO crystal (PBE, OQMD via LeMat-Bulk).

Structure (POSCAR):
```
TbSiNO
1.0
5.271 0.000 0.000
0.000 8.249 0.000
0.000 0.000 4.883
N O Si Tb
4 4 4 4
Direct
0.384 0.060 0.130
0.884 0.940 0.130
0.116 0.060 0.630
0.616 0.940 0.630
0.965 0.266 0.045
0.465 0.734 0.045
0.535 0.266 0.545
0.035 0.734 0.545
0.419 0.088 0.486
0.919 0.912 0.486
0.081 0.088 0.986
0.581 0.912 0.986
0.510 0.366 0.041
0.010 0.634 0.041
0.990 0.366 0.541
0.490 0.634 0.541
```

***

Calculated total energy for the records above, in order: -7.233, -7.145, -7.454, -7.585, -7.526, -7.378 eV per atom